Entry 1:
The following is a GGA-PBE calculation of an optimized crystal structure of SrCr, from Alexandria.

a = 6.181 Å, b = 10.065 Å, c = 14.666 Å
α = 90.00°, β = 90.00°, γ = 90.00°
Space group Fddd (No. 70, origin choice 2)
Asymmetric unit:
Sr  0.125  0.294  0.125 (multiplicity 16)
Cr  0.125  0.125  0.565 (multiplicity 16)

Summary:
- ΔE_f (eV/f.u.) = 1.6

***

Entry 2:
The following is a GGA-PBE calculation of an optimized crystal structure of SrCr, from Alexandria.

a = 7.927 Å, b = 7.927 Å, c = 7.927 Å
α = 90.00°, β = 90.00°, γ = 90.00°
Space group Fd-3m (No. 227, origin choice 2)
Asymmetric unit:
Sr  0.125  0.125  0.125 (multiplicity 8)
Cr  0.125  0.125  0.625 (multiplicity 8)

Summary:
- ΔE_f (eV/f.u.) = 1.9

***

Entry 3:
The following is a GGA-PBE calculation of an optimized crystal structure of SrCr3, from Alexandria.

a = 7.525 Å, b = 3.899 Å, c = 6.261 Å
α = 90.00°, β = 112.40°, γ = 90.00°
Space group C2/m (No. 12)
Asymmetric unit:
Sr  0.000  0.000  0.000 (multiplicity 2)
Cr  0.000  0.500  0.500 (multiplicity 2)
Cr  0.183  0.000  0.569 (multiplicity 4)

Summary:
- ΔE_f (eV/f.u.) = 2.8

***

Entry 4:
The following is a GGA-PBE calculation of an optimized crystal structure of SrCr3, from Alexandria.

a = 4.636 Å, b = 4.636 Å, c = 4.010 Å
α = 90.00°, β = 90.00°, γ = 90.00°
Space group P4/mmm (No. 123)
Asymmetric unit:
Sr  0.000  0.000  0.000 (multiplicity 1)
Cr  0.000  0.500  0.500 (multiplicity 2)
Cr  0.500  0.500  0.000 (multiplicity 1)

Summary:
- ΔE_f (eV/f.u.) = 4.1

***

Entry 5:
The following is a GGA-PBE calculation of an optimized crystal structure of SrCr3, from Alexandria.

a = 7.891 Å, b = 7.291 Å, c = 6.105 Å
α = 90.00°, β = 90.00°, γ = 90.00°
Space group Pnma (No. 62)
Asymmetric unit:
Sr  0.034  0.250  0.120 (multiplicity 4)
Cr  0.113  0.750  0.364 (multiplicity 4)
Cr  0.163  0.056  0.600 (multiplicity 8)

Summary:
- ΔE_f (eV/f.u.) = 3.0

***

Entry 6:
The following is a GGA-PBE calculation of an optimized crystal structure of SrCr3, from Alexandria.

a = 3.1265 Å, b = 3.1265 Å, c = 26.9876 Å
α = 90.00°, β = 90.00°, γ = 120.00°
Space group R-3m (No. 166, hexagonal axes)
Asymmetric unit:
Sr  0.0000  0.0000  0.0000 (multiplicity 3)
Cr  0.0000  0.0000  0.2301 (multiplicity 6)
Cr  0.0000  0.0000  0.5000 (multiplicity 3)

Summary:
- ΔE_f (eV/f.u.) = 4.1

***

no.,total moment (μB/f.u.),electronic total energy (eV/atom),density of states at the Fermi level (states/eV per cell)
1,0.00,-4.830,25.692
2,4.82,-4.714,19.274
3,2.04,-6.931,8.425
4,4.15,-6.620,2.408
5,4.58,-6.887,11.985
6,3.59,-6.608,12.301